(1)
Computed, not measured: a relaxed structure of KRbCdHg2 at the PBE level of DFT.

Lattice parameters (Å, degrees): 5.875 5.875 6.295 90.00 90.00 90.00
Atoms (fractional coordinates):
K  0.000  0.000  0.000
Rb  0.500  0.500  0.000
Cd  0.000  0.000  0.500
Hg  0.000  0.500  0.500
Hg  0.500  0.000  0.500

For the formation energy, the calculation gives -4.19 kJ/mol of atoms. For the total magnetization, the calculation gives 0.00 μB per formula unit. For the electronic total energy, the calculation gives -0.760 eV per atom.

(2)
Computed, not measured: a relaxed structure of ScTi2PdO at the PBE level of DFT.

Lattice parameters (Å, degrees): 4.113 4.113 4.348 90.00 90.00 90.00
Atoms (fractional coordinates):
Sc  0.000  0.000  0.000
Ti  0.000  0.500  0.500
Ti  0.500  0.000  0.500
Pd  0.500  0.500  0.000
O  0.000  0.000  0.500

For the total magnetization, the calculation gives 0.00 μB per formula unit. For the electronic total energy, the calculation gives -7.824 eV per atom. The value obtained for the raw formation energy is -1.370 eV/atom.

(3)
Computed, not measured: a relaxed structure of TmUSb2 at the PBE level of DFT.

Lattice parameters (Å, degrees): 5.236 5.236 3.793 90.00 90.00 90.00
Atoms (fractional coordinates):
Tm  0.000  0.000  0.000
U  0.500  0.500  0.000
Sb  0.000  0.500  0.500
Sb  0.500  0.000  0.500

For the total magnetization, the calculation gives 2.84 μB per formula unit. For the electronic total energy, the calculation gives -6.445 eV per atom. The value obtained for the raw formation energy is -0.444 eV/atom.

(4)
Computed, not measured: a relaxed structure of MnMoPCl2 at the PBE level of DFT.

Lattice parameters (Å, degrees): 4.536 4.536 5.139 90.00 90.00 90.00
Atoms (fractional coordinates):
Mn  0.000  0.000  0.000
Mo  0.500  0.500  0.500
P  0.000  0.000  0.500
Cl  0.000  0.500  0.000
Cl  0.500  0.000  0.000

For the total magnetization, the calculation gives 7.83 μB per formula unit. For the electronic total energy, the calculation gives -5.296 eV per atom. The value obtained for the raw formation energy is 0.524 eV/atom.

(5)
Computed, not measured: a relaxed structure of BaTa2Re at the PBE level of DFT.

Lattice parameters (Å, degrees): 4.107 4.107 4.968 90.00 90.00 90.00
Atoms (fractional coordinates):
Ba  0.000  0.000  0.000
Ta  0.000  0.500  0.500
Ta  0.500  0.000  0.500
Re  0.500  0.500  0.000

For the formation energy, the calculation gives 145.86 kJ/mol of atoms. For the total magnetization, the calculation gives 0.00 μB per formula unit. For the electronic total energy, the calculation gives -8.007 eV per atom.

(6)
Computed, not measured: a relaxed structure of LaFeP2 at the PBE level of DFT.

Lattice parameters (Å, degrees): 4.239 4.209 4.413 90.00 90.06 90.00
Atoms (fractional coordinates):
La  0.000  0.000  0.000
Fe  0.666  0.500  0.456
P  0.158  0.500  0.488
P  0.494  0.000  0.533

For the formation energy, the calculation gives -66.80 kJ/mol of atoms. For the total magnetization, the calculation gives 0.00 μB per formula unit. For the electronic total energy, the calculation gives -6.745 eV per atom.

(7)
Computed, not measured: a relaxed structure of Li2Cd4Pd at the PBE level of DFT.

Lattice parameters (Å, degrees): 7.756 7.756 7.756 34.33 34.33 34.33
Atoms (fractional coordinates):
Li  0.238  0.238  0.238
Li  0.762  0.762  0.762
Cd  0.113  0.113  0.113
Cd  0.369  0.369  0.369
Cd  0.631  0.631  0.631
Cd  0.887  0.887  0.887
Pd  0.500  0.500  0.500

For the formation energy, the calculation gives -25.25 kJ/mol of atoms. For the total magnetization, the calculation gives 0.00 μB per formula unit. For the electronic total energy, the calculation gives -2.073 eV per atom.

(8)
Computed, not measured: a relaxed structure of TiSe2Cl at the PBE level of DFT.

Lattice parameters (Å, degrees): 8.286 8.286 8.286 25.52 25.52 25.52
Atoms (fractional coordinates):
Ti  0.000  0.000  0.000
Se  0.394  0.394  0.394
Se  0.606  0.606  0.606
Cl  0.500  0.500  0.500

For the total magnetization, the calculation gives 0.00 μB per formula unit. For the electronic total energy, the calculation gives -4.943 eV per atom. The value obtained for the raw formation energy is -0.765 eV/atom.